DFT (PBE-GGA) results for NaCo3Hg after structural relaxation.

Unit cell a=4.422 b=4.422 c=4.422 alpha=90.00 beta=90.00 gamma=90.00
Fractional positions:
Na 0.000 0.000 0.000
Co 0.000 0.000 0.500
Co 0.000 0.500 0.000
Co 0.500 0.000 0.000
Hg 0.500 0.500 0.500

DFT formation energy ... 1.7726 eV/atom
Space-group type ... Pm-3m (221)
V ... 17.3 A^3/atom

DFT (PBE-GGA) results for La3CdIr after structural relaxation.

Unit cell a=8.583 b=8.583 c=10.824 alpha=123.28 beta=123.28 gamma=28.57
Fractional positions:
La 0.096 0.096 0.459
La 0.329 0.329 0.192
La 0.360 0.360 0.784
La 0.640 0.640 0.216
La 0.671 0.671 0.808
La 0.904 0.904 0.541
Cd 0.066 0.066 0.923
Cd 0.934 0.934 0.077
Ir 0.267 0.267 0.407
Ir 0.733 0.733 0.593

DFT formation energy ... -0.4511 eV/atom
Space-group type ... C2/m (12)
V ... 31.4 A^3/atom

DFT (PBE-GGA) results for RbBeCrGa2 after structural relaxation.

Unit cell a=4.704 b=4.704 c=5.018 alpha=90.00 beta=90.00 gamma=90.00
Fractional positions:
Rb 0.000 0.000 0.000
Be 0.500 0.500 0.500
Cr 0.500 0.500 0.000
Ga 0.000 0.500 0.500
Ga 0.500 0.000 0.500

DFT formation energy ... 0.5811 eV/atom
Space-group type ... P4/mmm (123)
V ... 22.2 A^3/atom